(1)
## LiGeRu2 (PBE-GGA)

Data for a relaxed LiGeRu2 crystal.

crystal system = tetragonal
formation energy from the elements = 0.339 eV/atom

a b c (Å): 5.7005 5.7005 5.7005
angles (deg): 100.40 100.40 129.71
Closest atoms and distances in Å follow each position.
Fractional coordinates of all 8 atoms:
1 Li 0.0000 0.0000 0.0000  2 Ge 2.42
2 Li 0.7500 0.2500 0.5000  2 Ge 2.42
3 Ge 0.2500 0.7500 0.5000  4 Ru 2.38, 2 Li 2.42
4 Ge 0.5000 0.5000 0.0000  4 Ru 2.38, 2 Li 2.42
5 Ru 0.1826 0.1250 0.5576  2 Ge 2.38, 2 Ru 2.56
6 Ru 0.3750 0.8174 0.9424  2 Ge 2.38, 2 Ru 2.56
7 Ru 0.5674 0.6250 0.4424  2 Ge 2.38, 2 Ru 2.56
8 Ru 0.8750 0.4326 0.0576  2 Ge 2.38, 2 Ru 2.56

---

(2)
## LiGe2Ru (PBE-GGA)

Data for a relaxed LiGe2Ru crystal.

crystal system = cubic
energy above the most stable polymorph in this dataset = 0.020 eV/atom
formation energy from the elements = -0.212 eV/atom

a b c (Å): 4.3314 4.3314 4.3314
angles (deg): 60.00 60.00 60.00
Closest atoms and distances in Å follow each position.
Fractional coordinates of all 4 atoms:
1 Li 0.0000 0.0000 0.0000  8 Ge 2.65
2 Ge 0.2500 0.2500 0.2500  4 Li 2.65, 4 Ru 2.65
3 Ge 0.7500 0.7500 0.7500  4 Li 2.65, 4 Ru 2.65
4 Ru 0.5000 0.5000 0.5000  8 Ge 2.65

---

(3)
## LiGeRu3 (PBE-GGA)

Data for a relaxed LiGeRu3 crystal.

crystal system = cubic
energy above the most stable polymorph in this dataset = 0.000 eV/atom
formation energy from the elements = 0.988 eV/atom

a b c (Å): 4.1237 4.1237 4.1237
angles (deg): 90.00 90.00 90.00
Closest atoms and distances in Å follow each position.
Fractional coordinates of all 5 atoms:
1 Li 0.0000 0.0000 0.0000  6 Ru 2.06
2 Ge 0.5000 0.5000 0.5000  12 Ru 2.92
3 Ru 0.0000 0.0000 0.5000  2 Li 2.06
4 Ru 0.0000 0.5000 0.0000  2 Li 2.06
5 Ru 0.5000 0.0000 0.0000  2 Li 2.06

---

(4)
## LiGeRu (PBE-GGA)

Data for a relaxed LiGeRu crystal.

crystal system = monoclinic
formation energy from the elements = -0.301 eV/atom

a b c (Å): 4.4277 4.4277 5.0790
angles (deg): 98.03 98.03 57.43
Closest atoms and distances in Å follow each position.
Fractional coordinates of all 6 atoms:
1 Li 0.0000 0.0000 0.0000  2 Li 2.54, 6 Ru 2.71-2.80, 4 Ge 2.84
2 Li 0.0000 0.0000 0.5000  2 Ge 2.52, 2 Li 2.54, 4 Ru 2.72
3 Ge 0.3162 0.3162 0.7096  1 Li 2.52, 5 Ru 2.52-2.59
4 Ge 0.6838 0.6838 0.2904  1 Li 2.52, 5 Ru 2.52-2.59
5 Ru 0.3554 0.3554 0.2122  5 Ge 2.52-2.59, 5 Li 2.71-2.80
6 Ru 0.6446 0.6446 0.7878  5 Ge 2.52-2.59, 5 Li 2.71-2.80

---

(5)
## LiGe2Ru (PBE-GGA)

Data for a relaxed LiGe2Ru crystal.

crystal system = tetragonal
energy above the most stable polymorph in this dataset = 0.390 eV/atom
formation energy from the elements = 0.158 eV/atom

a b c (Å): 5.7108 5.7108 5.7108
angles (deg): 103.16 103.16 123.01
Closest atoms and distances in Å follow each position.
Fractional coordinates of all 8 atoms:
1 Li 0.0000 0.0000 0.0000  2 Ru 2.72, 4 Ge 2.76
2 Li 0.7500 0.2500 0.5000  2 Ru 2.72, 4 Ge 2.76
3 Ge 0.1569 0.1250 0.5319  2 Ru 2.45
4 Ge 0.3750 0.8431 0.9681  2 Ru 2.45
5 Ge 0.5931 0.6250 0.4681  2 Ru 2.45
6 Ge 0.8750 0.4069 0.0319  2 Ru 2.45
7 Ru 0.2500 0.7500 0.5000  4 Ge 2.45, 2 Li 2.72
8 Ru 0.5000 0.5000 0.0000  4 Ge 2.45, 2 Li 2.72

---

(6)
## Li3Ge3Ru2 (PBE-GGA)

Data for a relaxed Li3Ge3Ru2 crystal.

crystal system = hexagonal
formation energy from the elements = -0.278 eV/atom

a b c (Å): 6.9368 6.9368 2.8840
angles (deg): 90.00 90.00 120.00
Closest atoms and distances in Å follow each position.
Fractional coordinates of all 8 atoms:
1 Li 0.0000 0.7679 0.0000  2 Ru 2.73, 4 Li 2.79-2.88, 6 Ge 2.81-2.94
2 Li 0.2321 0.2321 0.0000  2 Ru 2.73, 4 Li 2.79-2.88, 6 Ge 2.81-2.94
3 Li 0.7679 0.0000 0.0000  2 Ru 2.73, 4 Li 2.79-2.88, 6 Ge 2.81-2.94
4 Ge 0.0000 0.3991 0.5000  4 Ru 2.56, 4 Li 2.81
5 Ge 0.3991 0.0000 0.5000  4 Ru 2.56, 4 Li 2.81
6 Ge 0.6009 0.6009 0.5000  4 Ru 2.56, 4 Li 2.81
7 Ru 0.3333 0.6667 0.0000  6 Ge 2.56, 3 Li 2.73
8 Ru 0.6667 0.3333 0.0000  6 Ge 2.56, 3 Li 2.73

---

(7)
## LiGeRu2 (PBE-GGA)

Data for a relaxed LiGeRu2 crystal.

crystal system = tetragonal
formation energy from the elements = -0.048 eV/atom

a b c (Å): 4.1736 4.1736 3.0175
angles (deg): 90.00 90.00 90.00
Closest atoms and distances in Å follow each position.
Fractional coordinates of all 4 atoms:
1 Li 0.0000 0.0000 0.0000  8 Ru 2.58
2 Ge 0.5000 0.5000 0.0000  8 Ru 2.58
3 Ru 0.0000 0.5000 0.5000  4 Ge 2.58, 4 Li 2.58
4 Ru 0.5000 0.0000 0.5000  4 Ge 2.58, 4 Li 2.58

---

(8)
## LiGe2Ru (PBE-GGA)

Data for a relaxed LiGe2Ru crystal.

crystal system = trigonal
energy above the most stable polymorph in this dataset = 0.045 eV/atom
formation energy from the elements = -0.187 eV/atom

a b c (Å): 8.3730 8.3730 8.3730
angles (deg): 20.82 20.82 20.82
Closest atoms and distances in Å follow each position.
Fractional coordinates of all 4 atoms:
1 Li 0.0000 0.0000 0.0000  6 Ge 2.83, 6 Li 3.03
2 Ge 0.2427 0.2427 0.2427  3 Ru 2.56, 3 Li 2.83
3 Ge 0.7573 0.7573 0.7573  3 Ru 2.56, 3 Li 2.83
4 Ru 0.5000 0.5000 0.5000  6 Ge 2.56

---

(9)
## LiSmGe2Ru (PBE-GGA)

Data for a relaxed LiSmGe2Ru crystal.

crystal system = tetragonal
formation energy from the elements = -0.540 eV/atom

a b c (Å): 6.0357 6.0357 6.0357
angles (deg): 139.59 139.59 58.48
Closest atoms and distances in Å follow each position.
Fractional coordinates of all 5 atoms:
1 Li 0.0000 0.0000 0.0000  4 Ge 2.47
2 Sm 0.2500 0.7500 0.5000  8 Ge 3.22, 4 Li 3.36, 4 Ru 3.36
3 Ge 0.6262 0.1262 0.5000  2 Li 2.47, 2 Ru 2.47, 1 Ge 2.61
4 Ge 0.8738 0.3738 0.5000  2 Li 2.47, 2 Ru 2.47, 1 Ge 2.61
5 Ru 0.5000 0.5000 0.0000  4 Ge 2.47

---

(10)
## LiSmGeRu (PBE-GGA)

Data for a relaxed LiSmGeRu crystal.

crystal system = cubic
formation energy from the elements = -0.298 eV/atom

a b c (Å): 4.6257 4.6257 4.6257
angles (deg): 60.00 60.00 60.00
Closest atoms and distances in Å follow each position.
Fractional coordinates of all 4 atoms:
1 Li 0.0000 0.0000 0.0000  4 Ge 2.83, 4 Sm 2.83
2 Sm 0.2500 0.2500 0.2500  4 Ru 2.83, 4 Li 2.83
3 Ge 0.7500 0.7500 0.7500  4 Ru 2.83, 4 Li 2.83
4 Ru 0.5000 0.5000 0.5000  4 Sm 2.83, 4 Ge 2.83

---

(11)
## SrLiGe2Ru (PBE-GGA)

Data for a relaxed SrLiGe2Ru crystal.

crystal system = tetragonal
formation energy from the elements = 1.720 eV/atom

a b c (Å): 5.3348 5.3348 4.5262
angles (deg): 90.00 90.00 90.00
Closest atoms and distances in Å follow each position.
Fractional coordinates of all 5 atoms:
1 Sr 0.0000 0.0000 0.0000  2 Li 2.26
2 Li 0.0000 0.0000 0.5000  2 Sr 2.26
3 Ge 0.0000 0.5000 0.0000  2 Sr 2.67
4 Ge 0.5000 0.0000 0.0000  2 Sr 2.67
5 Ru 0.5000 0.5000 0.5000  8 Ge 3.50, 4 Li 3.77

---

(12)
## SrLi2GeRu (PBE-GGA)

Data for a relaxed SrLi2GeRu crystal.

crystal system = tetragonal
formation energy from the elements = -0.087 eV/atom

a b c (Å): 4.8174 4.8174 4.7468
angles (deg): 90.00 90.00 90.00
Closest atoms and distances in Å follow each position.
Fractional coordinates of all 5 atoms:
1 Sr 0.0000 0.0000 0.0000  8 Li 3.38, 4 Ge 3.41
2 Li 0.0000 0.5000 0.5000  2 Ru 2.41
3 Li 0.5000 0.0000 0.5000  2 Ru 2.41
4 Ge 0.5000 0.5000 0.0000  2 Ru 2.37
5 Ru 0.5000 0.5000 0.5000  2 Ge 2.37, 4 Li 2.41

---

(13)
## LiTbGe2Ru (PBE-GGA)

Data for a relaxed LiTbGe2Ru crystal.

crystal system = tetragonal
formation energy from the elements = -0.541 eV/atom

a b c (Å): 6.0797 6.0797 6.0797
angles (deg): 140.80 140.80 56.63
Closest atoms and distances in Å follow each position.
Fractional coordinates of all 5 atoms:
1 Li 0.0000 0.0000 0.0000  4 Ge 2.47
2 Tb 0.2500 0.7500 0.5000  8 Ge 3.16, 4 Ru 3.36, 4 Li 3.36
3 Ge 0.6304 0.1304 0.5000  2 Li 2.47, 2 Ru 2.47, 1 Ge 2.56
4 Ge 0.8696 0.3696 0.5000  2 Ru 2.47, 2 Li 2.47, 1 Ge 2.56
5 Ru 0.5000 0.5000 0.0000  4 Ge 2.47

---

(14)
## LiGeRuW (PBE-GGA)

Data for a relaxed LiGeRuW crystal.

crystal system = cubic
formation energy from the elements = -0.033 eV/atom

a b c (Å): 4.2816 4.2816 4.2816
angles (deg): 60.00 60.00 60.00
Closest atoms and distances in Å follow each position.
Fractional coordinates of all 4 atoms:
1 Li 0.0000 0.0000 0.0000  4 Ge 2.62, 4 W 2.62
2 Ge 0.7500 0.7500 0.7500  4 Li 2.62, 4 Ru 2.62
3 Ru 0.5000 0.5000 0.5000  4 Ge 2.62, 4 W 2.62
4 W 0.2500 0.2500 0.2500  4 Li 2.62, 4 Ru 2.62

---

(15)
## LiYGe2Ru (PBE-GGA)

Data for a relaxed LiYGe2Ru crystal.

crystal system = tetragonal
formation energy from the elements = -0.545 eV/atom

a b c (Å): 6.0808 6.0808 6.0808
angles (deg): 140.87 140.87 56.53
Closest atoms and distances in Å follow each position.
Fractional coordinates of all 5 atoms:
1 Li 0.0000 0.0000 0.0000  4 Ge 2.47
2 Y 0.7500 0.2500 0.5000  8 Ge 3.15, 4 Ru 3.36, 4 Li 3.36
3 Ge 0.1306 0.6306 0.5000  2 Li 2.47, 2 Ru 2.47, 1 Ge 2.56
4 Ge 0.3694 0.8694 0.5000  2 Ru 2.47, 2 Li 2.47, 1 Ge 2.56
5 Ru 0.5000 0.5000 0.0000  4 Ge 2.47

---

(16)
## LiYGeRu (PBE-GGA)

Data for a relaxed LiYGeRu crystal.

crystal system = cubic
formation energy from the elements = -0.342 eV/atom

a b c (Å): 4.5760 4.5760 4.5760
angles (deg): 60.00 60.00 60.00
Closest atoms and distances in Å follow each position.
Fractional coordinates of all 4 atoms:
1 Li 0.0000 0.0000 0.0000  4 Ge 2.80, 4 Y 2.80
2 Y 0.2500 0.2500 0.2500  4 Li 2.80, 4 Ru 2.80
3 Ge 0.7500 0.7500 0.7500  4 Li 2.80, 4 Ru 2.80
4 Ru 0.5000 0.5000 0.5000  4 Ge 2.80, 4 Y 2.80

---

(17)
## LiZrGeRu (PBE-GGA)

Data for a relaxed LiZrGeRu crystal.

crystal system = cubic
formation energy from the elements = -0.481 eV/atom

a b c (Å): 4.4388 4.4388 4.4388
angles (deg): 60.00 60.00 60.00
Closest atoms and distances in Å follow each position.
Fractional coordinates of all 4 atoms:
1 Li 0.0000 0.0000 0.0000  4 Zr 2.72, 4 Ge 2.72
2 Zr 0.7500 0.7500 0.7500  4 Ru 2.72, 4 Li 2.72
3 Ge 0.2500 0.2500 0.2500  4 Li 2.72, 4 Ru 2.72
4 Ru 0.5000 0.5000 0.5000  4 Ge 2.72, 4 Zr 2.72

---

(18)
## LiGeS3 (PBE-GGA)

Data for a relaxed LiGeS3 crystal.

crystal system = cubic
E_form (uncorrected) = 3.9 kJ per mole of atoms
energy above the most stable polymorph in this dataset = 0.580 eV/atom

a b c (Å): 4.7488 4.7488 4.7488
angles (deg): 90.00 90.00 90.00
Closest atoms and distances in Å follow each position.
Fractional coordinates of all 5 atoms:
1 Li 0.0000 0.0000 0.0000  12 S 3.36
2 Ge 0.5000 0.5000 0.5000  6 S 2.37
3 S 0.0000 0.5000 0.5000  2 Ge 2.37
4 S 0.5000 0.0000 0.5000  2 Ge 2.37
5 S 0.5000 0.5000 0.0000  2 Ge 2.37

---

(19)
## Li2GeS2 (PBE-GGA)

Data for a relaxed Li2GeS2 crystal.

crystal system = tetragonal
E_form (uncorrected) = -62.1 kJ per mole of atoms

a b c (Å): 6.9466 6.9466 3.4789
angles (deg): 90.00 90.00 90.00
Closest atoms and distances in Å follow each position.
Fractional coordinates of all 10 atoms:
1 Li 0.1361 0.3639 0.0000  2 S 2.51, 1 Li 2.67
2 Li 0.3639 0.8639 0.0000  2 S 2.51, 1 Li 2.67
3 Li 0.6361 0.1361 0.0000  2 S 2.51, 1 Li 2.67
4 Li 0.8639 0.6361 0.0000  2 S 2.51, 1 Li 2.67
5 Ge 0.0000 0.0000 0.5000  4 S 2.55
6 Ge 0.5000 0.5000 0.5000  4 S 2.55
7 S 0.1795 0.6795 0.5000  2 Li 2.51, 2 Ge 2.55
8 S 0.3205 0.1795 0.5000  2 Li 2.51, 2 Ge 2.55
9 S 0.6795 0.8205 0.5000  2 Li 2.51, 2 Ge 2.55
10 S 0.8205 0.3205 0.5000  2 Li 2.51, 2 Ge 2.55

---

(20)
## LiGeS3 (PBE-GGA)

Data for a relaxed LiGeS3 crystal.

crystal system = monoclinic
E_form (uncorrected) = -52.0 kJ per mole of atoms
energy above the most stable polymorph in this dataset = 0.000 eV/atom

a b c (Å): 8.7584 5.6723 12.5567
angles (deg): 90.00 132.45 90.00
Closest atoms and distances in Å follow each position.
Fractional coordinates of all 20 atoms:
1 Li 0.1826 0.2402 0.3927  4 S 2.48-2.65
2 Li 0.1826 0.2598 0.8927  4 S 2.48-2.65
3 Li 0.8174 0.7402 0.1073  4 S 2.48-2.65
4 Li 0.8174 0.7598 0.6073  4 S 2.48-2.65
5 Ge 0.3165 0.7288 0.1955  4 S 2.15-2.29
6 Ge 0.3165 0.7712 0.6955  4 S 2.15-2.29
7 Ge 0.6835 0.2288 0.3045  4 S 2.15-2.29
8 Ge 0.6835 0.2712 0.8045  4 S 2.15-2.29
9 S 0.0819 0.5850 0.4775  1 S 2.10, 1 Ge 2.29
10 S 0.0819 0.9150 0.9775  1 S 2.10, 1 Ge 2.29
11 S 0.1831 0.6094 0.2801  1 Ge 2.15
12 S 0.1831 0.8906 0.7801  1 Ge 2.15
13 S 0.4533 0.0008 0.6299  2 Ge 2.27-2.29
14 S 0.4533 0.4992 0.1299  2 Ge 2.27-2.29
15 S 0.5467 0.5008 0.8701  2 Ge 2.27-2.29
16 S 0.5467 0.9992 0.3701  2 Ge 2.27-2.29
17 S 0.8169 0.1094 0.2199  1 Ge 2.15
18 S 0.8169 0.3906 0.7199  1 Ge 2.15
19 S 0.9181 0.0850 0.0225  1 S 2.10, 1 Ge 2.29
20 S 0.9181 0.4150 0.5225  1 S 2.10, 1 Ge 2.29

---

| no. | total magnetic moment (μB per atom) |
| --- | --- |
| 1 | 0.081 |
| 2 | 0.000 |
| 3 | 0.451 |
| 4 | 0.000 |
| 5 | 0.000 |
| 6 | 0.000 |
| 7 | 0.000 |
| 8 | 0.000 |
| 9 | 0.000 |
| 10 | 0.000 |
| 11 | 0.422 |
| 12 | 0.000 |
| 13 | 0.000 |
| 14 | 0.000 |
| 15 | 0.000 |
| 16 | 0.000 |
| 17 | 0.000 |
| 18 | 0.000 |
| 19 | 0.000 |
| 20 | 0.000 |